Compound: CsCaH2CF
Source: the Alexandria database
Functional: PBE
Structure: optimized geometry

Geometry as POSCAR:
```
CsCaH2CF
1.0
7.357 0.000 -0.001
0.000 4.699 0.000
-0.523 0.000 6.614
Cs Ca H C F
2 2 4 2 2
Direct
0.635 0.000 0.608
0.635 0.500 0.108
0.143 0.000 0.984
0.143 0.500 0.484
0.011 0.000 0.492
0.011 0.500 0.992
0.897 0.000 0.248
0.897 0.500 0.748
0.039 0.000 0.328
0.039 0.500 0.828
0.443 0.000 0.977
0.443 0.500 0.477
```

Output
The total energy comes out at -52.91 eV/cell. The size of the total moment comes out at 0.00 μB per formula unit.